Material: K2RhAu
Method: DFT, PBE
State: relaxed

The space group is Immm (No. 71) and the conventional cell measures 3.973, 4.601 and 10.258 Å, with angles of 90.00, 90.00 and 90.00 degrees. The asymmetric unit holds K at (0.000, 0.000, 0.249), Rh at (0.000, 0.500, 0.500) and Au at (0.000, 0.500, 0.000).

The calculation puts the size of the total moment at 0.000 μB/cell. As for the calculated formation energy: 152.2 kJ/mol of formula units. The total energy comes out at -2.81 eV/atom. Its crystal system is orthorhombic.



Material: AlIn6Hg8
Method: DFT, PBE
State: relaxed

The space group is R-3 (No. 148, hexagonal axes) and the conventional cell measures 9.8773, 9.8773 and 14.2276 Å, with angles of 90.00, 90.00 and 120.00 degrees. The asymmetric unit holds Al at (0.0000, 0.0000, 0.0000), In at (0.0220, 0.6336, 0.3340), Hg at (0.0000, 0.0000, 0.3964) and Hg at (0.0676, 0.8542, 0.1729).

The calculation puts the size of the total moment at 0.000 μB/cell. As for the calculated formation energy: 68.6 kJ/mol of formula units. The total energy comes out at -1.46 eV/atom. Its crystal system is trigonal.



Material: Ba2PrEu
Method: DFT, PBE
State: relaxed

The space group is P4/mmm (No. 123) and the conventional cell measures 4.063, 4.063 and 11.948 Å, with angles of 90.00, 90.00 and 90.00 degrees. The asymmetric unit holds Ba at (0.000, 0.000, 0.237), Pr at (0.500, 0.500, 0.000) and Eu at (0.500, 0.500, 0.500).

The calculation puts the size of the total moment at 7.046 μB/cell. As for the calculated formation energy: 53.4 kJ/mol of formula units. The total energy comes out at -4.59 eV/atom. Its crystal system is tetragonal.



Material: Sm3Tm4Pt4
Method: DFT, PBE
State: relaxed

The space group is Immm (No. 71) and the conventional cell measures 4.530, 7.809 and 15.425 Å, with angles of 90.00, 90.00 and 90.00 degrees. The asymmetric unit holds Sm at (0.000, 0.000, 0.000), Sm at (0.000, 0.500, 0.103), Tm at (0.000, 0.291, 0.328), Pt at (0.000, 0.000, 0.210) and Pt at (0.000, 0.187, 0.500).

The calculation puts the size of the total moment at 0.000 μB/cell. As for the calculated formation energy: -985.0 kJ/mol of formula units. The total energy comes out at -6.04 eV/atom. Its crystal system is orthorhombic.



Material: K3NpV2Te6
Method: DFT, PBE
State: relaxed

The space group is C2/m (No. 12) and the conventional cell measures 7.348, 12.720 and 8.564 Å, with angles of 90.00, 106.72 and 90.00 degrees. The asymmetric unit holds K at (0.000, 0.000, 0.000), K at (0.000, 0.340, 0.000), Np at (0.000, 0.500, 0.500), V at (0.000, 0.168, 0.500), Te at (0.205, 0.000, 0.690) and Te at (0.244, 0.321, 0.693).

The calculation puts the size of the total moment at 15.997 μB/cell. For the formation energy without anion corrections, the calculation gives -0.693 eV/atom. The total energy comes out at -5.14 eV/atom. Its crystal system is monoclinic.



Material: K2SrAlBi2
Method: DFT, PBE
State: relaxed

The space group is Pmc2_1 (No. 26) and the conventional cell measures 5.498, 9.703 and 8.197 Å, with angles of 90.00, 90.00 and 90.00 degrees. The asymmetric unit holds K at (0.000, 0.081, 0.000), K at (0.500, 0.152, 0.318), Sr at (0.500, 0.473, 0.014), Al at (0.000, 0.320, 0.662), Bi at (0.000, 0.386, 0.293) and Bi at (0.500, 0.211, 0.733).

The calculation puts the size of the total moment at 0.000 μB/cell. As for the calculated formation energy: -244.6 kJ/mol of formula units. The total energy comes out at -2.99 eV/atom. Its crystal system is orthorhombic.



Number 1: theoretical density 6.7 g/cm³. Number 2: theoretical density 9.6 g/cm³. Number 3: theoretical density 4.8 g/cm³. Number 4: theoretical density 11.6 g/cm³. Number 5: theoretical density 5.3 g/cm³. Number 6: theoretical density 4.6 g/cm³.